Run a
Ca2GaP (PBE-GGA, relaxed); size of the total moment = 0.0000 μB/atom; space group = Fm-3m
1.0
0.0000 3.5965 3.5965
3.5965 0.0000 3.5965
3.5965 3.5965 0.0000
Ca Ga P
2 1 1
Cartesian
1.7982 1.7982 1.7982
5.3947 5.3947 5.3947
0.0000 0.0000 0.0000
3.5965 3.5965 3.5965


Run b
Ca2GaP (PBE-GGA, relaxed); size of the total moment = 0.0000 μB/atom; space group = I-42d
1.0
-3.9707 3.9707 3.4443
3.9707 -3.9707 3.4443
3.9707 3.9707 -3.4443
Ca Ga P
4 2 2
Cartesian
5.9560 1.7026 -0.8611
1.7026 1.9853 0.8611
-1.9853 2.2681 2.5833
2.2681 1.9853 4.3054
3.9707 0.0000 1.7222
0.0000 0.0000 3.4443
0.0000 0.0000 0.0000
0.0000 3.9707 1.7222


Run c
Ca2GaP (PBE-GGA, relaxed); size of the total moment = 0.0000 μB/atom; space group = R-3m
1.0
2.0461 1.1813 9.3704
-2.0461 1.1813 9.3704
0.0000 -2.3626 9.3704
Ca Ga P
2 1 1
Cartesian
0.0000 0.0000 3.2058
0.0000 0.0000 24.9053
0.0000 0.0000 0.0000
0.0000 0.0000 14.0555


run a is the most stable structure; the next one sits 0.086 eV/atom above it.